Entry 1:
DFT (GGA-PBE) results for an optimized crystal structure of Na3Tl3AsO8.

The volume is 219.9 Å³/f.u. As for the total energy: -4.80 eV per atom.

It has space group R-3m (No. 166, hexagonal axes), with a = 6.7311 Å, b = 6.7311 Å, c = 16.8138 Å, α = 90.00°, β = 90.00° and γ = 120.00°. The asymmetric unit holds Na at (0.0000, 0.5000, 0.0000), Tl at (0.0000, 0.5000, 0.5000), As at (0.0000, 0.0000, 0.5000), O at (0.0000, 0.0000, 0.2394) and O at (0.0640, 0.5320, 0.2323).

Entry 2:
DFT (GGA-PBE) results for an optimized crystal structure of NaTlAsO4.

The volume is 100.0 Å³/f.u. As for the total energy: -5.20 eV per atom.

It has space group Imma (No. 74), with a = 6.5474 Å, b = 6.6263 Å, c = 9.2171 Å, α = 90.00°, β = 90.00° and γ = 90.00°. The asymmetric unit holds Na at (0.2500, 0.2500, 0.2500), Tl at (0.0000, 0.0000, 0.0000), As at (0.0000, 0.2500, 0.6286), O at (0.0000, 0.0312, 0.7311) and O at (0.2161, 0.2500, 0.5148).

Total moment for every record listed, in sequence, given in μB per formula unit: 0.0; 0.0.